Computed, not measured: a geometry-optimized Fe2Se6O15 structure at the PBE+U level of DFT.

Geometry as CIF:
```
data_Fe2Se6O15
_cell_length_a 11.601
_cell_length_b 11.399
_cell_length_c 14.653
_cell_angle_alpha 90.00
_cell_angle_beta 127.35
_cell_angle_gamma 90.00
_space_group_name_H-M_alt 'P 1 21/c 1'
_space_group_IT_number 14
loop_
_space_group_symop_operation_xyz
'x,y,z'
'-x,-y,-z'
'-x,y+1/2,-z+1/2'
'x,-y+1/2,z+1/2'
loop_
_atom_site_label
_atom_site_type_symbol
_atom_site_fract_x
_atom_site_fract_y
_atom_site_fract_z
_atom_site_occupancy
Fe1 Fe 0.011 0.239 0.269 1
Fe2 Fe 0.486 0.742 0.227 1
Se1 Se 0.103 0.015 0.712 1
Se2 Se 0.149 0.660 0.509 1
Se3 Se 0.263 0.104 0.011 1
Se4 Se 0.276 0.099 0.286 1
Se5 Se 0.335 0.017 0.665 1
Se6 Se 0.349 0.671 0.872 1
O1 O 0.004 0.637 0.837 1
O2 O 0.021 0.095 0.354 1
O3 O 0.081 0.630 0.370 1
O4 O 0.094 0.149 0.901 1
O5 O 0.147 0.021 0.610 1
O6 O 0.181 0.719 0.763 1
O7 O 0.205 0.511 0.567 1
O8 O 0.223 0.204 0.337 1
O9 O 0.311 0.724 0.561 1
O10 O 0.315 0.204 0.115 1
O11 O 0.319 0.518 0.891 1
O12 O 0.392 0.608 0.247 1
O13 O 0.409 0.118 0.773 1
O14 O 0.424 0.650 0.802 1
O15 O 0.451 0.139 0.348 1
```

Summary:
VASP energy = -5.546 eV per atom
crystal system = monoclinic